## Pa2Zn15Ru2 (PBE)

Data for crystalline Pa2Zn15Ru2 at its relaxed geometry.

## Properties
As for the crystal system: trigonal. The total energy is -0.1159 Ha/atom. The energy of formation comes out at -16.5 kJ per mole of atoms.

Cell: 6.7690 6.7690 6.7690 Å, 85.66 85.66 85.66°
With the nearest neighbours (Å) after each atom.
Element x y z (fractional)
Zn1 0.2819 0.7181 0.0000  8 Zn 2.50-2.75
Zn2 0.6415 0.1650 0.6415  8 Zn 2.57-2.75, 1 Ru 2.85
Zn3 0.7181 0.2819 0.0000  8 Zn 2.50-2.75
Zn4 0.6415 0.6415 0.1650  8 Zn 2.57-2.75, 1 Ru 2.85
Ru1 0.8662 0.8662 0.8662  1 Pa 2.39
Zn5 0.5000 0.0000 0.0000  8 Zn 2.50-2.73, 2 Ru 2.69
Zn6 0.0000 0.7181 0.2819  8 Zn 2.50-2.75
Pa1 0.3235 0.3235 0.3235  1 Ru 2.39
Zn7 0.3585 0.3585 0.8350  8 Zn 2.57-2.75, 1 Ru 2.85
Zn8 0.0000 0.5000 0.0000  8 Zn 2.50-2.73, 2 Ru 2.69
Zn9 0.8350 0.3585 0.3585  8 Zn 2.57-2.75, 1 Ru 2.85
Zn10 0.0000 0.2819 0.7181  8 Zn 2.50-2.75
Zn11 0.1650 0.6415 0.6415  8 Zn 2.57-2.75, 1 Ru 2.85
Pa2 0.6765 0.6765 0.6765  1 Ru 2.39
Zn12 0.7181 0.0000 0.2819  8 Zn 2.50-2.75
Ru2 0.1338 0.1338 0.1338  1 Pa 2.39
Zn13 0.3585 0.8350 0.3585  8 Zn 2.57-2.75, 1 Ru 2.85
Zn14 0.0000 0.0000 0.5000  8 Zn 2.50-2.73, 2 Ru 2.69
Zn15 0.2819 0.0000 0.7181  8 Zn 2.50-2.75



## Na3LiSn (PBE)

Data for crystalline Na3LiSn at its relaxed geometry.

## Properties
As for the crystal system: monoclinic. The total energy is -0.0779 Ha/atom. The value obtained for the energy above the lowest structure with this stoichiometry is 14 meV per atom. The energy of formation comes out at -14.0 kJ per mole of atoms.

Cell: 9.2851 6.2709 10.1895 Å, 90.00 77.06 90.00°
With the nearest neighbours (Å) after each atom.
Element x y z (fractional)
Na1 0.5165 0.2693 0.4058  2 Sn 3.21-3.22, 2 Na 3.26-3.45
Na2 0.1140 0.9932 0.5966  2 Li 3.04-3.23, 3 Sn 3.20-3.32, 3 Na 3.20-3.36
Na3 0.1140 0.0068 0.0966  2 Li 3.04-3.23, 3 Sn 3.20-3.32, 3 Na 3.20-3.36
Na4 0.5165 0.7307 0.9058  2 Sn 3.21-3.22, 2 Na 3.26-3.45
Sn1 0.8044 0.2905 0.1644  3 Li 2.95-3.04, 5 Na 3.17-3.24
Sn2 0.1956 0.7095 0.8356  3 Li 2.95-3.04, 5 Na 3.17-3.24
Sn3 0.1956 0.2905 0.3356  3 Li 2.95-3.04, 5 Na 3.17-3.24
Na5 0.8860 0.0068 0.4034  2 Li 3.04-3.23, 3 Sn 3.20-3.32, 3 Na 3.20-3.36
Li1 0.9014 0.5083 0.9016  3 Sn 2.95-3.04, 2 Li 3.00-3.22, 2 Na 3.04-3.23
Na6 0.8860 0.9932 0.9034  2 Li 3.04-3.23, 3 Sn 3.20-3.32, 3 Na 3.20-3.36
Sn4 0.8044 0.7095 0.6644  3 Li 2.95-3.04, 5 Na 3.17-3.24
Na7 0.7022 0.7728 0.2002  2 Sn 3.17-3.38, 2 Na 3.31-3.41, 1 Li 3.53
Na8 0.2978 0.2272 0.7998  2 Sn 3.17-3.38, 2 Na 3.31-3.41, 1 Li 3.53
Li2 0.0986 0.5083 0.5984  3 Sn 2.95-3.04, 2 Li 3.00-3.22, 2 Na 3.04-3.23
Na9 0.2978 0.7728 0.2998  2 Sn 3.17-3.38, 2 Na 3.31-3.41, 1 Li 3.53
Li3 0.9014 0.4917 0.4016  3 Sn 2.95-3.04, 2 Li 3.00-3.22, 2 Na 3.04-3.23
Na10 0.4835 0.7307 0.5942  2 Sn 3.21-3.22, 2 Na 3.26-3.45
Li4 0.0986 0.4917 0.0984  3 Sn 2.95-3.04, 2 Li 3.00-3.22, 2 Na 3.04-3.23
Na11 0.4835 0.2693 0.0942  2 Sn 3.21-3.22, 2 Na 3.26-3.45
Na12 0.7022 0.2272 0.7002  2 Sn 3.17-3.38, 2 Na 3.31-3.41, 1 Li 3.53



## PrHo2Zn6 (PBE)

Data for crystalline PrHo2Zn6 at its relaxed geometry.

## Properties
As for the crystal system: hexagonal. The total energy is -0.1013 Ha/atom. The energy of formation comes out at -34.6 kJ per mole of atoms.

Cell: 3.5265 7.8224 7.8225 Å, 120.00 89.97 90.00°
With the nearest neighbours (Å) after each atom.
Element x y z (fractional)
Ho1 0.9998 0.6667 0.3334  12 Zn 3.13-3.14
Zn1 0.5007 0.0000 0.6624  3 Zn 2.54-2.64
Zn2 0.5000 0.3376 0.0000  3 Zn 2.54-2.64
Ho2 0.0002 0.3333 0.6666  12 Zn 3.13-3.14
Zn3 0.5000 0.6624 0.0000  3 Zn 2.54-2.64
Pr1 0.0000 0.0000 0.0000  12 Zn 3.17-3.18, 2 Pr 3.53
Zn4 0.4993 0.3376 0.3375  3 Zn 2.54-2.64
Zn5 0.5007 0.6624 0.6624  3 Zn 2.54-2.64
Zn6 0.4993 0.0000 0.3375  3 Zn 2.54-2.64



Here are the calculated D(E_F) numbers, same order: 0.4939, 0.1590, 0.7888 (states/eV per atom).
Here are the calculated theoretical density numbers, same order: 8.88, 2.24, 7.67 (Mg/m³).
Here are the calculated spin magnetization numbers, same order: 0.00, 0.00, 0.00 (μB per formula unit).